Density functional theory data (GGA+U) for YMnPtO4 after structural relaxation.

a b c (Å): 6.0080 7.1502 9.1612
angles (deg): 90.00 90.00 90.00
Space group Imma (No. 74)
Symmetry-distinct sites (fractional):
Y 0.0000 0.0000 0.0000 x4
Mn 0.0000 0.2500 0.2781 x4
Pt 0.2500 0.2500 0.7500 x4
O 0.0000 0.0594 0.7550 x8
O 0.2158 0.2500 0.1034 x8

Results
V = 14.06 Å³ per atom
Calculated total energy = -52.2 eV/f.u.
Size of the total moment = 16.115 μB/cell
D(E_F) = 1.94 states/eV/f.u.
Crystal system = orthorhombic



Density functional theory data (GGA+U) for ZrMnPtO6 after structural relaxation.

a b c (Å): 5.1600 5.1600 8.9143
angles (deg): 90.00 90.00 120.00
Space group P-31c (No. 163)
Symmetry-distinct sites (fractional):
Zr 0.3333 0.6667 0.2500 x2
Mn 0.0000 0.0000 0.0000 x2
Pt 0.3333 0.6667 0.7500 x2
O 0.0101 0.3329 0.6225 x12

Results
V = 11.42 Å³ per atom
Calculated total energy = -65.7 eV/f.u.
Size of the total moment = 5.946 μB/cell
D(E_F) = 3.56 states/eV/f.u.
Crystal system = trigonal